First-principles (PBE) data for a relaxed structure of Li5Er3Cl12, as listed in Alexandria.

Raw total energy ... -654.99 eV/cell
ρ ... 3751 kg/m³
Formation energy without anion corrections ... -1823 meV per atom
Total magnetic moment ... 0.00 μB per atom

a = 15.0465 Å, b = 15.0465 Å, c = 15.0465 Å
α = 90.00°, β = 90.00°, γ = 90.00°
Space group Ia-3d (No. 230)
Unique sites:
Li 0.0000 0.0000 0.0000
Li 0.0000 0.2500 0.3750
Er 0.0000 0.2500 0.1250
Cl 0.0269 0.0639 0.6531